Record 1
SrCuSbH | the Alexandria database | GGA-PBE | relaxed; DFT total energy = -3.7974 eV/atom
1.0
4.4312 0.0000 0.0000
-2.2156 3.8393 0.0056
0.0000 -0.0092 4.7817
Cu Sb H Sr
1 1 1 1
direct
0.2384 0.4768 0.8938
0.9051 0.8103 0.7946
0.2388 0.4776 0.2311
0.5720 0.1440 0.3197

Record 2
SrCuSbH2 | the Alexandria database | GGA-PBE | relaxed; DFT total energy = -3.6093 eV/atom
1.0
4.3233 0.0000 0.0000
-2.1616 5.7194 0.0000
0.0000 0.0000 6.6275
Sr H Sb Cu
2 4 2 2
direct
0.7119 0.4237 0.7500
0.2881 0.5763 0.2500
0.1400 0.2801 0.5434
0.8600 0.7199 0.4566
0.8600 0.7199 0.0434
0.1400 0.2801 0.9566
0.5634 0.1269 0.2500
0.4366 0.8731 0.7500
0.0000 0.0000 0.0000
0.0000 0.0000 0.5000

Record 3
Sr2CuSbH | the Alexandria database | GGA-PBE | relaxed; DFT total energy = -3.4546 eV/atom
1.0
5.2988 0.0000 0.0000
0.0000 5.2988 0.0000
0.0000 0.0000 4.2171
Sr Cu Sb H
2 1 1 1
direct
0.5000 0.0000 0.0000
0.0000 0.5000 0.0000
0.0000 0.0000 0.5000
0.5000 0.5000 0.5000
0.0000 0.0000 0.0000

Record 4
CuSbTeH | the Alexandria database | GGA-PBE | relaxed; DFT total energy = -3.4378 eV/atom; energy relative to the lowest polymorph listed for this composition = 130.0 meV/atom
1.0
-0.8442 -2.4566 -3.0216
-0.9114 -3.9593 0.6972
-6.2193 -0.1487 -1.2042
H Cu Te Sb
1 1 1 1
direct
0.6700 0.5149 0.2089
0.2681 0.8430 0.7652
0.5387 0.9514 0.0506
0.7142 0.1907 0.5454

Record 5
CuSb2TeH | the Alexandria database | GGA-PBE | relaxed; DFT total energy = -2.9116 eV/atom; energy relative to the lowest polymorph listed for this composition = 255.2 meV/atom
1.0
5.1056 0.0000 0.0000
0.0000 5.1056 0.0000
0.0000 0.0000 5.2544
Cu Te Sb H
1 1 2 1
direct
0.0000 0.0000 0.0000
0.0000 0.0000 0.5000
0.5000 0.0000 0.0000
0.0000 0.5000 0.0000
0.5000 0.5000 0.5000

Record 6
CuSbTeH | the Alexandria database | GGA-PBE | relaxed; DFT total energy = -3.4701 eV/atom; energy relative to the lowest polymorph listed for this composition = 97.6 meV/atom
1.0
3.1072 0.0255 -0.1124
-0.0129 3.9689 0.0009
-1.1715 -2.0015 7.4707
Cu Sb Te H
1 1 1 1
direct
0.8029 0.8266 0.2441
0.9782 0.4372 0.4667
0.6493 0.2117 0.0149
0.0696 0.5536 0.7043

Record 7
CuSbTeH | the Alexandria database | GGA-PBE | relaxed; DFT total energy = -3.5412 eV/atom; energy relative to the lowest polymorph listed for this composition = 26.6 meV/atom
1.0
-2.4696 0.9042 3.0348
0.5136 -4.1145 -0.9973
4.0062 0.0872 3.2198
Te H Cu Sb
1 1 1 1
direct
0.6661 0.6646 0.5471
0.2247 0.7805 0.0297
0.3743 0.0737 0.7985
0.9959 0.3121 0.1248

Record 8
CuSb2TeH | the Alexandria database | GGA-PBE | relaxed; DFT total energy = -3.1668 eV/atom; energy relative to the lowest polymorph listed for this composition = 0.0 meV/atom
1.0
-1.3670 3.1526 -2.6564
-0.8998 -2.9593 -3.0490
-5.1774 -0.5267 2.0392
Cu H Sb Te
1 1 2 1
direct
0.5000 0.5000 0.5000
0.0000 0.0000 0.0000
0.5000 0.0000 0.0000
0.0000 0.5000 0.0000
0.0000 0.0000 0.5000

Record 9
CuSbTeH | the Alexandria database | GGA-PBE | relaxed; DFT total energy = -3.4996 eV/atom; energy relative to the lowest polymorph listed for this composition = 68.2 meV/atom
1.0
3.4318 -0.1892 -0.2472
-1.5309 4.1816 0.2394
-1.4503 -1.4482 5.8315
H Cu Te Sb
1 1 1 1
direct
0.7441 0.4660 0.6001
0.2651 0.4800 0.6270
0.2800 0.1892 0.9682
0.7808 0.7659 0.3747

Record 10
CuSbTeH | the Alexandria database | GGA-PBE | relaxed; DFT total energy = -3.5179 eV/atom; energy relative to the lowest polymorph listed for this composition = 49.9 meV/atom
1.0
-4.1212 0.3612 1.3559
0.5620 -4.2110 2.8299
2.2146 4.2177 5.8362
H Te Sb Cu
2 2 2 2
direct
0.4857 0.5000 0.6138
0.4857 0.0000 0.1138
0.9716 0.5000 0.9271
0.9716 0.0000 0.4271
0.6021 0.5000 0.3709
0.6021 0.0000 0.8709
0.1097 0.5000 0.5859
0.1097 0.0000 0.0859

Record 11
CuSbTeH | the Alexandria database | GGA-PBE | relaxed; DFT total energy = -3.4774 eV/atom; energy relative to the lowest polymorph listed for this composition = 90.4 meV/atom
1.0
-2.5932 -3.3701 3.9519
-0.4226 -2.9034 -2.7533
7.2890 -1.5809 0.5483
Sb H Te Cu
2 2 2 2
direct
0.6623 0.5000 0.8740
0.6623 0.0000 0.3740
0.3124 0.5000 0.0214
0.3124 0.0000 0.5214
0.1474 0.5000 0.1852
0.1474 0.0000 0.6852
0.8489 0.0000 0.0870
0.8489 0.5000 0.5870

Record 12
CuSbTeH | the Alexandria database | GGA-PBE | relaxed; DFT total energy = -3.4785 eV/atom; energy relative to the lowest polymorph listed for this composition = 89.3 meV/atom
1.0
4.1869 0.0048 -0.0023
-2.0304 3.7451 0.0003
-0.0294 -0.3986 5.0280
H Sb Te Cu
1 1 1 1
direct
0.2934 0.4278 0.3070
0.8898 0.4396 0.9473
0.0823 0.0128 0.5264
0.5316 0.8178 0.1903

Record 13
CuSbTeH | the Alexandria database | GGA-PBE | relaxed; DFT total energy = -3.5678 eV/atom; energy relative to the lowest polymorph listed for this composition = 0.0 meV/atom
1.0
4.0024 0.0011 0.0005
-2.0001 3.9023 -0.0015
-0.0249 -1.9426 5.8168
Sb H Te Cu
1 1 1 1
direct
0.8742 0.0567 0.5202
0.1119 0.5294 0.6256
0.9576 0.2286 0.0647
0.3172 0.9463 0.2196

Record 14
TiCuSbH2 | the Alexandria database | GGA-PBE | relaxed; DFT total energy = -4.1211 eV/atom
1.0
-3.5622 0.1067 1.1190
1.0080 -3.9839 3.5888
0.8873 2.5499 2.5814
Cu Sb Ti H
1 1 1 2
direct
0.0000 0.0000 0.0000
0.0000 0.5000 0.0000
0.5000 0.5000 0.5000
0.0000 0.0000 0.5000
0.5000 0.0000 0.0000

Record 15
Ti7CuSb2H2 | the Alexandria database | GGA-PBE | relaxed; DFT total energy = -6.5689 eV/atom
1.0
3.9414 -0.0031 0.0106
0.0017 3.9414 0.0106
1.9389 1.9365 11.6118
Ti H Sb Cu
7 2 2 1
direct
0.9117 0.4118 0.1766
0.5882 0.0883 0.8234
0.5000 0.5000 0.0000
0.2974 0.2974 0.4056
0.0883 0.5882 0.8234
0.7026 0.7026 0.5944
0.4118 0.9117 0.1766
0.4170 0.4170 0.1661
0.5830 0.5830 0.8339
0.1778 0.1778 0.6441
0.8222 0.8222 0.3559
0.0000 0.0000 0.0000

Record 16
V2CuSbH | the Alexandria database | GGA-PBE | relaxed; DFT total energy = -5.9175 eV/atom
1.0
3.8411 0.0000 0.0000
0.0000 3.8411 0.0000
0.0000 0.0000 4.2078
Sb Cu H V
1 1 1 2
direct
0.5000 0.5000 0.5000
0.0000 0.0000 0.5000
0.0000 0.0000 0.0000
0.0000 0.5000 0.0000
0.5000 0.0000 0.0000

Record 17
VCu2SbH | the Alexandria database | GGA-PBE | relaxed; DFT total energy = -4.8521 eV/atom
1.0
-2.0532 -3.0623 -1.4287
3.1941 -1.2131 -1.9900
1.1183 -2.2181 3.1471
Cu Sb H V
2 1 1 1
direct
0.5000 0.0000 0.0000
0.0000 0.5000 0.0000
0.5000 0.5000 0.5000
0.0000 0.0000 0.0000
0.0000 0.0000 0.5000

Record 18
Sc2CuH | the Alexandria database | GGA-PBE | relaxed; DFT total energy = -4.9664 eV/atom; energy relative to the lowest polymorph listed for this composition = 263.2 meV/atom
1.0
2.7374 -0.9181 3.4078
-0.6387 1.9524 3.9660
-1.4735 -2.4063 3.4623
Cu Sc H
1 2 1
direct
0.5000 0.5000 0.5000
0.2500 0.2500 0.2500
0.7500 0.7500 0.7500
0.0000 0.0000 0.0000

Record 19
ScCuH2 | the Alexandria database | GGA-PBE | relaxed; DFT total energy = -4.4089 eV/atom; energy relative to the lowest polymorph listed for this composition = 0.0 meV/atom
1.0
4.0747 0.0000 0.0000
0.0000 4.0747 0.0000
2.0374 2.0374 4.9668
H Sc Cu
4 2 2
direct
0.3750 0.3113 0.7500
0.6887 0.1250 0.2500
0.8750 0.9387 0.7500
0.0613 0.6250 0.2500
0.5000 0.5000 0.0000
0.2500 0.7500 0.5000
0.0000 0.0000 0.0000
0.7500 0.2500 0.5000

Record 20
Sc3Cu5H12 | the Alexandria database | GGA-PBE | relaxed; DFT total energy = -4.1823 eV/atom
1.0
9.5851 0.0000 0.0000
-3.1950 9.0369 0.0000
-3.1950 -4.5185 7.8262
H Cu Sc
48 20 12
direct
0.0827 0.1772 0.2122
0.1295 0.7122 0.5349
0.9651 0.5946 0.1772
0.5349 0.2122 0.1295
0.4173 0.1295 0.5946
0.4651 0.7878 0.8705
0.7122 0.5827 0.1772
0.7122 0.1295 0.0349
0.2878 0.4173 0.8228
0.5946 0.9651 0.6772
0.0827 0.9054 0.3705
0.9173 0.0946 0.6295
0.5827 0.7122 0.6772
0.8705 0.5827 0.9054
0.0349 0.6295 0.7122
0.3705 0.4054 0.0827
0.8705 0.2878 0.4651
0.4054 0.0349 0.3228
0.6772 0.4651 0.5946
0.0946 0.1772 0.4651
0.2122 0.5349 0.6295
0.6295 0.5946 0.9173
0.9054 0.0827 0.8705
0.0349 0.4054 0.8228
0.4054 0.3705 0.5827
0.2122 0.6772 0.0827
0.4651 0.6772 0.0946
0.6772 0.2122 0.5827
0.5946 0.6295 0.4173
0.4173 0.2878 0.3228
0.0946 0.9173 0.1295
0.9173 0.8228 0.7878
0.7878 0.3228 0.9173
0.1772 0.0946 0.9651
0.9651 0.3705 0.2878
0.3228 0.5349 0.4054
0.1295 0.4173 0.0946
0.9054 0.8228 0.5349
0.2878 0.8705 0.9651
0.3705 0.9651 0.7878
0.8228 0.9054 0.0349
0.8228 0.9173 0.2878
0.7878 0.4651 0.3705
0.6295 0.0349 0.2122
0.5349 0.3228 0.9054
0.5827 0.8705 0.4054
0.1772 0.0827 0.7122
0.3228 0.7878 0.4173
0.5000 0.5000 0.5000
0.5000 0.0000 0.5000
0.3750 0.1250 0.7500
0.2500 0.8750 0.1250
0.2500 0.3750 0.6250
0.0000 0.5000 0.5000
0.7500 0.6250 0.3750
0.6250 0.8750 0.2500
0.7500 0.1250 0.8750
0.1250 0.7500 0.3750
0.0000 0.0000 0.0000
0.0000 0.0000 0.5000
0.5000 0.5000 0.0000
0.5000 0.0000 0.0000
0.0000 0.5000 0.0000
0.1250 0.3750 0.2500
0.6250 0.7500 0.8750
0.3750 0.2500 0.1250
0.8750 0.2500 0.6250
0.8750 0.6250 0.7500
0.2500 0.1250 0.3750
0.7500 0.3750 0.1250
0.8750 0.1250 0.2500
0.3750 0.6250 0.2500
0.2500 0.6250 0.8750
0.7500 0.8750 0.6250
0.6250 0.2500 0.3750
0.8750 0.7500 0.1250
0.1250 0.8750 0.7500
0.3750 0.7500 0.6250
0.6250 0.3750 0.7500
0.1250 0.2500 0.8750

Record 21
ScCuH2 | the Alexandria database | GGA-PBE | relaxed; DFT total energy = -4.4028 eV/atom; energy relative to the lowest polymorph listed for this composition = 6.1 meV/atom
1.0
0.0000 2.6732 2.6732
2.6732 0.0000 2.6732
2.6732 2.6732 0.0000
H Sc Cu
2 1 1
direct
0.7500 0.7500 0.7500
0.2500 0.2500 0.2500
0.0000 0.0000 0.0000
0.5000 0.5000 0.5000

Record 22
Sc2CuH | the Alexandria database | GGA-PBE | relaxed; DFT total energy = -4.9377 eV/atom; energy relative to the lowest polymorph listed for this composition = 291.9 meV/atom
1.0
2.4734 -6.5386 0.4961
5.4390 -4.3825 -0.5727
4.3889 -4.5013 3.0973
Sc Cu H
2 1 1
direct
0.0957 0.0957 0.0957
0.9043 0.9043 0.9043
0.5000 0.5000 0.5000
0.0000 0.0000 0.0000

Record 23
Sc4Cu2H | the Alexandria database | GGA-PBE | relaxed; DFT total energy = -5.4332 eV/atom
1.0
4.3443 0.0000 0.0000
0.0000 4.3443 0.0000
-2.1721 -2.1721 6.5833
Cu Sc H
2 4 1
direct
0.3793 0.3793 0.7585
0.6207 0.6207 0.2415
0.5000 0.0000 0.0000
0.1872 0.1872 0.3744
0.0000 0.5000 0.0000
0.8128 0.8128 0.6256
0.0000 0.0000 0.0000

Record 24
ScCuH | the Alexandria database | GGA-PBE | relaxed; DFT total energy = -5.0299 eV/atom; energy relative to the lowest polymorph listed for this composition = 0.0 meV/atom
1.0
-2.0133 0.7132 -2.4534
1.9626 -1.5683 -2.0664
-3.4845 -5.8768 1.1509
Sc H Cu
2 2 2
direct
0.2500 0.2500 0.6769
0.7500 0.7500 0.3231
0.7500 0.2500 0.5000
0.2500 0.7500 0.5000
0.2500 0.2500 0.0837
0.7500 0.7500 0.9163